Entry 1:
KFe2Si | PBEsol | optimized geometry

```
4
Lattice="2.9440 0.0000 0.0000 0.0000 2.9440 0.0000 0.0000 0.0000 7.8686" Properties=species:S:1:pos:R:3 pbc="T T T"
K 0.0000 0.0000 0.0000
Fe 0.0000 0.0000 3.7892
Fe 1.4720 1.4720 5.0090
Si 1.4720 1.4720 2.5320
```

Results
Energy relative to the elements, uncorrected in meV/atom: 343
Uncorrected energy in eV per atom: -5.86
ρ in g/cm3: 4.36
Crystal system: tetragonal



Entry 2:
KFe2Si | PBEsol | optimized geometry

```
8
Lattice="5.9396 0.0000 0.0000 0.0000 8.5129 0.0000 -1.0025 0.0000 2.3920" Properties=species:S:1:pos:R:3 pbc="T T T"
K 0.0000 0.0000 0.0000
K 2.9698 4.2565 0.0000
Fe 0.9836 2.1282 1.1960
Fe 0.9836 6.3847 1.1960
Fe 3.9534 2.1282 1.1960
Fe 3.9534 6.3847 1.1960
Si 0.0000 4.2565 0.0000
Si 2.9698 0.0000 0.0000
```

Results
Energy relative to the elements, uncorrected in meV/atom: 1052
Uncorrected energy in eV per atom: -5.15
ρ in g/cm3: 4.91
Crystal system: monoclinic



Entry 3:
KSr4Fe | PBEsol | optimized geometry

```
6
Lattice="0.0000 5.3213 5.3213 5.3213 0.0000 5.3213 5.3213 5.3213 0.0000" Properties=species:S:1:pos:R:3 pbc="T T T"
K 0.0000 0.0000 0.0000
Sr 4.0010 4.0010 4.0010
Sr 6.6417 6.6417 4.0010
Sr 6.6417 4.0010 6.6417
Sr 4.0010 6.6417 6.6417
Fe 7.9820 7.9820 7.9820
```

Results
Formation energy in eV per formula unit: 5.35
Uncorrected energy in eV per atom: -2.02
ρ in g/cm3: 2.45
Crystal system: cubic



Entry 4:
K2TaFe | PBEsol | optimized geometry

```
4
Lattice="2.7895 0.0000 0.0000 0.0000 2.7895 0.0000 0.0000 0.0000 11.9693" Properties=species:S:1:pos:R:3 pbc="T T T"
K 0.0000 0.0000 2.8023
K 0.0000 0.0000 9.1670
Ta 1.3948 1.3948 5.9847
Fe 1.3948 1.3948 0.0000
```

Results
Formation energy in eV per formula unit: 6.02
Uncorrected energy in eV per atom: -4.44
ρ in g/cm3: 5.62
Distance to the lowest polymorph of the same formula in kJ per mole of atoms: 74.6
Crystal system: tetragonal



Entry 5:
KTaFe2 | PBEsol | optimized geometry

```
8
Lattice="8.5165 0.0000 0.0000 0.0000 2.9083 0.0000 -0.6461 0.0000 7.0300" Properties=species:S:1:pos:R:3 pbc="T T T"
K 0.0000 0.0000 0.0000
K 4.2583 1.4541 0.0000
Ta -0.3230 1.4541 3.5150
Ta 3.9352 0.0000 3.5150
Fe 1.5831 0.0000 4.3789
Fe 2.0291 1.4541 2.6511
Fe 5.8413 1.4541 4.3789
Fe 6.2874 0.0000 2.6511
```

Results
Formation energy in eV per formula unit: 3.24
Uncorrected energy in eV per atom: -7.09
ρ in g/cm3: 6.33
Distance to the lowest polymorph of the same formula in kJ per mole of atoms: 0.0
Crystal system: monoclinic



Entry 6:
KTaFe2 | PBEsol | optimized geometry

```
16
Lattice="6.2953 0.0000 0.0000 0.0000 6.2953 0.0000 0.0000 0.0000 6.2953" Properties=species:S:1:pos:R:3 pbc="T T T"
K 0.0000 0.0000 0.0000
K 0.0000 3.1477 3.1477
K 3.1477 0.0000 3.1477
K 3.1477 3.1477 0.0000
Ta 1.5738 1.5738 1.5738
Ta 1.5738 4.7215 4.7215
Ta 4.7215 1.5738 4.7215
Ta 4.7215 4.7215 1.5738
Fe 0.0000 0.0000 3.1477
Fe 0.0000 3.1477 0.0000
Fe 1.5738 1.5738 4.7215
Fe 1.5738 4.7215 1.5738
Fe 3.1477 0.0000 0.0000
Fe 3.1477 3.1477 3.1477
Fe 4.7215 1.5738 1.5738
Fe 4.7215 4.7215 4.7215
```

Results
Formation energy in eV per formula unit: 5.85
Uncorrected energy in eV per atom: -6.44
ρ in g/cm3: 8.83
Distance to the lowest polymorph of the same formula in kJ per mole of atoms: 63.0
Crystal system: cubic



Entry 7:
K2TaFe | PBEsol | optimized geometry

```
4
Lattice="3.2268 0.0000 0.0000 0.0000 3.2268 0.0000 0.0000 0.0000 10.7872" Properties=species:S:1:pos:R:3 pbc="T T T"
K 0.0000 0.0000 0.0000
K 1.6134 1.6134 4.2794
Ta 0.0000 0.0000 7.2875
Fe 1.6134 1.6134 8.2387
```

Results
Formation energy in eV per formula unit: 2.93
Uncorrected energy in eV per atom: -5.21
ρ in g/cm3: 4.66
Distance to the lowest polymorph of the same formula in kJ per mole of atoms: 0.0
Crystal system: tetragonal



Entry 8:
K2TaFe | PBEsol | optimized geometry

```
16
Lattice="7.8484 0.0000 0.0000 0.0000 7.8484 0.0000 0.0000 0.0000 7.8484" Properties=species:S:1:pos:R:3 pbc="T T T"
K 1.9621 1.9621 1.9621
K 1.9621 1.9621 5.8863
K 1.9621 5.8863 1.9621
K 1.9621 5.8863 5.8863
K 5.8863 1.9621 1.9621
K 5.8863 1.9621 5.8863
K 5.8863 5.8863 1.9621
K 5.8863 5.8863 5.8863
Ta 0.0000 0.0000 0.0000
Ta 0.0000 3.9242 3.9242
Ta 3.9242 0.0000 3.9242
Ta 3.9242 3.9242 0.0000
Fe 0.0000 0.0000 3.9242
Fe 0.0000 3.9242 0.0000
Fe 3.9242 0.0000 0.0000
Fe 3.9242 3.9242 3.9242
```

Results
Formation energy in eV per formula unit: 9.39
Uncorrected energy in eV per atom: -3.60
ρ in g/cm3: 4.33
Distance to the lowest polymorph of the same formula in kJ per mole of atoms: 155.9
Crystal system: cubic



Entry 9:
K2TaFe | PBEsol | optimized geometry

```
4
Lattice="3.0833 0.0000 0.0000 0.0000 4.4958 0.0000 0.0000 0.0000 6.1125" Properties=species:S:1:pos:R:3 pbc="T T T"
K 0.0000 0.0000 0.0000
K 1.5416 2.2479 0.0000
Ta 0.0000 2.2479 3.0562
Fe 1.5416 0.0000 3.0562
```

Results
Formation energy in eV per formula unit: 5.66
Uncorrected energy in eV per atom: -4.53
ρ in g/cm3: 6.17
Distance to the lowest polymorph of the same formula in kJ per mole of atoms: 65.9
Crystal system: orthorhombic



Entry 10:
KTa2Fe | PBEsol | optimized geometry

```
4
Lattice="3.9413 0.0000 0.0000 0.0000 3.9413 0.0000 0.0000 0.0000 4.9023" Properties=species:S:1:pos:R:3 pbc="T T T"
K 0.0000 0.0000 0.0000
Ta 0.0000 1.9707 2.4512
Ta 1.9707 0.0000 2.4512
Fe 1.9707 1.9707 0.0000
```

Results
Formation energy in eV per formula unit: 6.47
Uncorrected energy in eV per atom: -7.18
ρ in g/cm3: 9.96
Distance to the lowest polymorph of the same formula in kJ per mole of atoms: 1.2
Crystal system: tetragonal



Entry 11:
KTaFe3 | PBEsol | optimized geometry

```
5
Lattice="4.6778 0.0000 0.0000 0.0000 4.6778 0.0000 0.0000 0.0000 4.6778" Properties=species:S:1:pos:R:3 pbc="T T T"
K 0.0000 0.0000 0.0000
Ta 2.3389 2.3389 2.3389
Fe 0.0000 2.3389 2.3389
Fe 2.3389 0.0000 2.3389
Fe 2.3389 2.3389 0.0000
```

Results
Formation energy in eV per formula unit: 7.58
Uncorrected energy in eV per atom: -6.60
ρ in g/cm3: 6.29
Crystal system: cubic



Entry 12:
KTa3Fe | PBEsol | optimized geometry

```
5
Lattice="4.5083 0.0000 0.0000 0.0000 4.5083 0.0000 0.0000 0.0000 4.5083" Properties=species:S:1:pos:R:3 pbc="T T T"
K 0.0000 0.0000 0.0000
Ta 0.0000 0.0000 2.2542
Ta 0.0000 2.2542 0.0000
Ta 2.2542 0.0000 0.0000
Fe 2.2542 2.2542 2.2542
```

Results
Formation energy in eV per formula unit: 15.51
Uncorrected energy in eV per atom: -6.45
ρ in g/cm3: 11.56
Crystal system: cubic